Record 1
Computed, not measured: a geometry-optimized TlBr2Cl structure at the PBE-GGA level of DFT.

ΔE_f (raw): -474 meV per atom
space group: No. 6
offset from the most stable computed form: 30 meV per atom
E_tot: -2.3632 eV/atom

Cell lengths 6.541, 3.830, 6.787 Å; angles 90.00, 112.62, 90.00 degrees
Atoms (fractional coordinates):
Tl: 0.000 0.000 0.000
Br: 0.050 0.500 0.724
Br: 0.342 0.000 0.349
Cl: 0.739 0.500 0.052



Record 2
Computed, not measured: a geometry-optimized Sr2TeHO6 structure at the PBE-GGA level of DFT.

space group: No. 1
E_tot: -5.7073 eV/atom

Cell lengths 5.186, 5.926, 5.935 Å; angles 98.69, 114.18, 114.29 degrees
Atoms (fractional coordinates):
Sr: 0.000 0.000 0.000
Sr: 0.005 0.542 0.465
Te: 0.478 0.251 0.711
H: 0.593 0.973 0.431
O: 0.005 0.098 0.553
O: 0.380 0.949 0.406
O: 0.458 0.012 0.900
O: 0.472 0.451 0.483
O: 0.654 0.554 0.020
O: 0.958 0.406 0.872



Record 3
Computed, not measured: a geometry-optimized TbYCdCu structure at the PBE-GGA level of DFT.

space group: No. 99
energy of formation from the pure elements: -0.28 eV per atom
offset from the most stable computed form: 0 meV per atom
E_tot: -4.3029 eV/atom

Cell lengths 3.531, 3.531, 7.644 Å; angles 90.00, 90.00, 90.00 degrees
Atoms (fractional coordinates):
Tb: 0.000 0.000 0.000
Y: 0.000 0.000 0.555
Cd: 0.500 0.500 0.278
Cu: 0.500 0.500 0.779



Record 4
Computed, not measured: a geometry-optimized ReAg4 structure at the PBE-GGA level of DFT.

space group: No. 139
energy of formation from the pure elements: 1.05 eV per atom
offset from the most stable computed form: 357 meV per atom
E_tot: -3.7190 eV/atom

Cell lengths 7.534, 7.534, 7.534 Å; angles 151.34, 151.34, 40.98 degrees
Atoms (fractional coordinates):
Re: 0.000 0.000 0.000
Ag: 0.250 0.750 0.500
Ag: 0.405 0.405 0.000
Ag: 0.595 0.595 0.000
Ag: 0.750 0.250 0.500



Record 5
Computed, not measured: a geometry-optimized MgPd2Pt7 structure at the PBE-GGA level of DFT.

space group: No. 65
energy of formation from the pure elements: 0.27 eV per atom
E_tot: -5.1545 eV/atom

Cell lengths 7.533, 7.533, 4.215 Å; angles 90.00, 90.00, 123.47 degrees
Atoms (fractional coordinates):
Mg: 0.000 0.000 0.000
Pd: 0.300 0.700 0.500
Pd: 0.700 0.300 0.500
Pt: 0.081 0.290 0.500
Pt: 0.189 0.811 0.000
Pt: 0.290 0.081 0.500
Pt: 0.500 0.500 0.500
Pt: 0.710 0.919 0.500
Pt: 0.811 0.189 0.000
Pt: 0.919 0.710 0.500



Record 6
Computed, not measured: a geometry-optimized BaTlBOs2 structure at the PBE-GGA level of DFT.

space group: No. 123
energy of formation from the pure elements: 2.22 eV per atom
E_tot: -4.4696 eV/atom

Cell lengths 5.341, 5.341, 4.335 Å; angles 90.00, 90.00, 90.00 degrees
Atoms (fractional coordinates):
Ba: 0.000 0.000 0.000
Tl: 0.500 0.500 0.500
B: 0.500 0.500 0.000
Os: 0.000 0.500 0.500
Os: 0.500 0.000 0.500



Record 7
Computed, not measured: a geometry-optimized AlZn4Ni structure at the PBE-GGA level of DFT.

space group: No. 216
energy of formation from the pure elements: 0.04 eV per atom
E_tot: -2.3989 eV/atom

Cell lengths 4.941, 4.941, 4.941 Å; angles 60.00, 60.00, 60.00 degrees
Atoms (fractional coordinates):
Al: 0.000 0.000 0.000
Zn: 0.376 0.376 0.376
Zn: 0.376 0.376 0.873
Zn: 0.376 0.873 0.376
Zn: 0.873 0.376 0.376
Ni: 0.750 0.750 0.750



Record 8
Computed, not measured: a geometry-optimized ScMo2Os structure at the PBE-GGA level of DFT.

space group: No. 216
energy of formation from the pure elements: -0.10 eV per atom
offset from the most stable computed form: 16 meV per atom
E_tot: -9.9042 eV/atom

Cell lengths 4.494, 4.494, 4.494 Å; angles 60.00, 60.00, 60.00 degrees
Atoms (fractional coordinates):
Sc: 0.000 0.000 0.000
Mo: 0.500 0.500 0.500
Mo: 0.750 0.750 0.750
Os: 0.250 0.250 0.250



Record 9
Computed, not measured: a geometry-optimized CuRhS2 structure at the PBE-GGA level of DFT.

ΔE_f (raw): -149 meV per atom
space group: No. 141
E_tot: -5.0745 eV/atom

Cell lengths 6.452, 6.452, 6.452 Å; angles 136.23, 136.23, 63.62 degrees
Atoms (fractional coordinates):
Cu: 0.375 0.625 0.750
Cu: 0.625 0.375 0.250
Rh: 0.125 0.875 0.250
Rh: 0.875 0.125 0.750
S: 0.094 0.344 0.750
S: 0.344 0.094 0.250
S: 0.656 0.906 0.750
S: 0.906 0.656 0.250



Record 10
Computed, not measured: a geometry-optimized LiCdCuSi structure at the PBE-GGA level of DFT.

ΔE_f (raw): -8 meV per atom
space group: No. 216
E_tot: -3.0953 eV/atom

Cell lengths 4.408, 4.408, 4.408 Å; angles 60.00, 60.00, 60.00 degrees
Atoms (fractional coordinates):
Li: 0.000 0.000 0.000
Cd: 0.250 0.250 0.250
Cu: 0.500 0.500 0.500
Si: 0.750 0.750 0.750



Record 11
Computed, not measured: a geometry-optimized Cs2H5Ru structure at the PBE-GGA level of DFT.

space group: No. 107
E_tot: -3.4513 eV/atom

Cell lengths 6.212, 6.212, 6.212 Å; angles 117.56, 117.56, 94.27 degrees
Atoms (fractional coordinates):
Cs: 0.000 0.500 0.500
Cs: 0.500 0.000 0.500
H: 0.058 0.058 0.618
H: 0.058 0.441 0.000
H: 0.065 0.065 0.000
H: 0.441 0.058 0.000
H: 0.441 0.441 0.382
Ru: 0.250 0.250 0.000



Record 12
Computed, not measured: a geometry-optimized CaSm4Tm2 structure at the PBE-GGA level of DFT.

space group: No. 166
energy of formation from the pure elements: 0.04 eV per atom
E_tot: -4.2251 eV/atom

Cell lengths 20.966, 20.966, 20.966 Å; angles 9.85, 9.85, 9.85 degrees
Atoms (fractional coordinates):
Ca: 0.000 0.000 0.000
Sm: 0.143 0.143 0.143
Sm: 0.282 0.282 0.282
Sm: 0.718 0.718 0.718
Sm: 0.857 0.857 0.857
Tm: 0.430 0.430 0.430
Tm: 0.570 0.570 0.570